Entry 1:
A geometry-optimized Ag7Sb structure, computed with PBE.

Lattice parameters (Å, degrees): 2.9281 2.9281 42.2813 90.00 90.00 90.00
Last column: nearest neighbours and their distance in Å.
Fractional coordinates of all 16 atoms:
Ag 0.5000 0.5000 0.4268  12 Ag 2.92-2.93
Ag 0.0000 0.0000 0.7676  12 Ag 2.92-2.94
Ag 0.5000 0.5000 0.5244  12 Ag 2.92-2.93
Ag 0.5000 0.5000 0.7190  12 Ag 2.91-2.93
Ag 0.5000 0.5000 0.8168  8 Ag 2.93-2.94, 4 Sb 3.14
Ag 0.5000 0.5000 0.3294  12 Ag 2.91-2.93
Ag 0.0000 0.0000 0.5732  12 Ag 2.92-2.93
Ag 0.0000 0.0000 0.2810  12 Ag 2.91-2.93
Ag 0.0000 0.0000 0.4756  12 Ag 2.92-2.93
Sb 0.0000 0.0000 0.8725  4 Sb 2.93, 4 Ag 3.14
Sb 0.5000 0.5000 0.1275  4 Sb 2.93, 4 Ag 3.13-3.14
Ag 0.5000 0.5000 0.6220  12 Ag 2.92-2.93
Ag 0.5000 0.5000 0.2324  12 Ag 2.92-2.94
Ag 0.0000 0.0000 0.6706  12 Ag 2.91-2.93
Ag 0.0000 0.0000 0.3780  12 Ag 2.92-2.93
Ag 0.0000 0.0000 0.1832  8 Ag 2.93-2.94, 4 Sb 3.13-3.14

Output
E above lowest polymorph ... 0.0 kJ/mol of atoms



Entry 2:
A geometry-optimized ReAgTe2 structure, computed with PBE.

Lattice parameters (Å, degrees): 4.9094 4.9094 4.9094 60.00 60.00 60.00
Last column: nearest neighbours and their distance in Å.
Fractional coordinates of all 4 atoms:
Ag 0.7500 0.7500 0.7500  4 Re 3.01, 4 Te 3.01
Re 0.0000 0.0000 0.0000  4 Te 3.01, 4 Ag 3.01
Te 0.2500 0.2500 0.2500  4 Re 3.01, 4 Te 3.01
Te 0.5000 0.5000 0.5000  4 Te 3.01, 4 Ag 3.01

Output
Size of the total moment ... 0.7 μB per formula unit



Entry 3:
A geometry-optimized NbMoS4 structure, computed with PBE.

Lattice parameters (Å, degrees): 21.0683 3.2622 3.2622 60.00 90.00 90.00
Last column: nearest neighbours and their distance in Å.
Fractional coordinates of all 6 atoms:
S 0.5755 0.3357 0.3357  3 Nb 2.47
Mo 0.0000 0.5025 0.5025  6 S 2.43
S 0.4245 0.3357 0.3357  3 Nb 2.47
S 0.0727 0.8358 0.8358  3 Mo 2.43
Nb 0.5000 0.0024 0.0024  6 S 2.47
S 0.9273 0.8358 0.8358  3 Mo 2.43

Output
E above lowest polymorph ... 0.7 kJ/mol of atoms
Size of the total moment ... 0.0 μB per formula unit



Entry 4:
A geometry-optimized Sr2FeN2 structure, computed with PBE.

Lattice parameters (Å, degrees): 6.4986 8.6215 8.8430 90.27 109.47 102.32
Last column: nearest neighbours and their distance in Å.
Fractional coordinates of all 25 atoms:
N 0.7087 0.1071 0.0426  2 Fe 1.81-1.83
N 0.3203 0.2877 0.9540  1 Fe 1.78
Fe 0.5867 0.8930 0.0225  3 N 1.78-1.83
Sr 0.6328 0.7029 0.7345  4 N 2.62-2.67
N 0.7633 0.9308 0.5698  1 Fe 1.84
Fe 0.4133 0.1070 0.9775  3 N 1.78-1.83
Sr 0.6184 0.6974 0.3334  4 N 2.59-2.70
Sr 0.3816 0.3026 0.6666  4 N 2.59-2.70
Fe 0.1005 0.5298 0.4075  3 N 1.81-1.87
Sr 0.7680 0.4336 0.0637  6 N 2.58-2.76
Sr 0.1086 0.8498 0.1800  4 N 2.61-2.73
Sr 0.3672 0.2971 0.2655  4 N 2.62-2.67
N 0.7987 0.4397 0.3683  2 Fe 1.86-1.87
N 0.2367 0.0692 0.4302  1 Fe 1.84
Fe 0.8995 0.4702 0.5925  3 N 1.81-1.87
N 0.8019 0.4435 0.7617  1 Fe 1.81
Sr 0.2320 0.5664 0.9363  6 N 2.58-2.76
Fe 0.5000 0.0000 0.5000  2 N 1.84
Sr 0.1449 0.8639 0.6426  4 N 2.54-2.72
Sr 0.8552 0.1361 0.3574  4 N 2.54-2.72
N 0.2013 0.5603 0.6317  2 Fe 1.86-1.87
N 0.2913 0.8929 0.9574  2 Fe 1.81-1.83
N 0.6797 0.7123 0.0460  1 Fe 1.78
N 0.1981 0.5565 0.2383  1 Fe 1.81
Sr 0.8914 0.1502 0.8200  4 N 2.61-2.73

Output
Size of the total moment ... 2.0 μB per formula unit



Entry 5:
A geometry-optimized CsGdO3 structure, computed with PBE.

Lattice parameters (Å, degrees): 4.5000 4.5000 4.6314 90.00 90.00 90.00
Last column: nearest neighbours and their distance in Å.
Fractional coordinates of all 5 atoms:
O 0.5000 0.0000 0.5822  2 Gd 2.25
O 0.5000 0.5000 0.0776  2 Gd 2.31-2.32
Cs 0.0000 0.0000 0.0789  12 O 3.18-3.24
O 0.0000 0.5000 0.5822  2 Gd 2.25
Gd 0.5000 0.5000 0.5791  6 O 2.25-2.32

Output
Size of the total moment ... 2.0 μB per formula unit



Entry 6:
A geometry-optimized Er6TmCo2Te2 structure, computed with PBE.

Lattice parameters (Å, degrees): 9.2870 9.2870 9.2870 156.36 66.37 119.00
Last column: nearest neighbours and their distance in Å.
Fractional coordinates of all 11 atoms:
Co 0.9906 0.7535 0.2371  6 Er 2.76-2.78
Te 0.0194 0.0194 0.0000  6 Er 3.12-3.16, 1 Tm 3.17
Tm 0.6829 0.6829 0.0000  3 Te 3.15-3.17
Er 0.7449 0.0591 0.6858  2 Co 2.76
Er 0.3989 0.2643 0.1346  2 Co 2.76
Er 0.7623 0.4106 0.3517  2 Co 2.78
Co 0.5164 0.7535 0.7629  6 Er 2.76-2.78
Er 0.0590 0.4106 0.6483  2 Co 2.78
Er 0.3733 0.0591 0.3142  2 Co 2.76
Er 0.1297 0.2643 0.8654  2 Co 2.76
Te 0.4172 0.9172 0.5000  2 Tm 3.15, 6 Er 3.17-3.18

Output
Size of the total moment ... 0.0 μB per formula unit



Number 1: total DFT energy (no corrections) -2.939 eV/atom. Number 2: total DFT energy (no corrections) -4.189 eV/atom. Number 3: total DFT energy (no corrections) -7.164 eV/atom. Number 4: total DFT energy (no corrections) -6.236 eV/atom. Number 5: total DFT energy (no corrections) -5.887 eV/atom. Number 6: total DFT energy (no corrections) -5.369 eV/atom.